A plane-wave DFT calculation with GGA-PBE was carried out for a relaxed DyTm2In3CuAg2 crystal.

Cell: 3.846 13.488 7.760 Å, 90.00 90.00 90.00°
Space group Amm2 (No. 38)
Inequivalent atoms, fractional coordinates:
Dy  0.000  0.000  0.000
Tm  0.000  0.201  0.603
In  0.500  0.000  0.655
In  0.500  0.127  0.277
Cu  0.000  0.000  0.403
Ag  0.500  0.168  0.902

***

A plane-wave DFT calculation with GGA-PBE was carried out for a relaxed Dy2TmIn3CuAg2 crystal.

Cell: 3.882 13.475 7.796 Å, 90.00 90.00 90.00°
Space group Amm2 (No. 38)
Inequivalent atoms, fractional coordinates:
Dy  0.000  0.201  0.000
Tm  0.000  0.000  0.603
In  0.500  0.000  0.950
In  0.500  0.125  0.327
Cu  0.000  0.000  0.202
Ag  0.500  0.166  0.701

***

A plane-wave DFT calculation with GGA-PBE was carried out for a relaxed Dy2CuAgSn2 crystal.

Cell: 4.6504 4.6504 7.3330 Å, 90.00 90.00 120.00°
Space group P3m1 (No. 156)
Inequivalent atoms, fractional coordinates:
Dy  0.0000  0.0000  0.0000
Dy  0.0000  0.0000  0.4924
Cu  0.3333  0.6667  0.1780
Ag  0.6667  0.3333  0.6816
Sn  0.3333  0.6667  0.7798
Sn  0.6667  0.3333  0.2637

***

A plane-wave DFT calculation with GGA-PBE was carried out for a relaxed Tb2DyTl3CuAg2 crystal.

Cell: 3.884 13.705 7.921 Å, 90.00 90.00 90.00°
Space group Amm2 (No. 38)
Inequivalent atoms, fractional coordinates:
Tb  0.000  0.199  0.000
Dy  0.000  0.000  0.596
Tl  0.500  0.000  0.942
Tl  0.500  0.129  0.328
Cu  0.000  0.000  0.199
Ag  0.500  0.166  0.699

***

A plane-wave DFT calculation with GGA-PBE was carried out for a relaxed TbDy2Tl3CuAg2 crystal.

Cell: 3.874 13.686 7.896 Å, 90.00 90.00 90.00°
Space group Amm2 (No. 38)
Inequivalent atoms, fractional coordinates:
Tb  0.000  0.000  0.000
Dy  0.000  0.199  0.597
Tl  0.500  0.000  0.655
Tl  0.500  0.129  0.269
Cu  0.000  0.000  0.398
Ag  0.500  0.167  0.898

***

A plane-wave DFT calculation with GGA-PBE was carried out for a relaxed DyCuAgTe3 crystal.

Cell: 4.159 15.164 10.951 Å, 90.00 90.00 90.00°
Space group Cmcm (No. 63)
Inequivalent atoms, fractional coordinates:
Dy  0.000  0.000  0.000
Cu  0.000  0.486  0.250
Ag  0.000  0.133  0.750
Te  0.000  0.094  0.250
Te  0.000  0.357  0.068

***

A plane-wave DFT calculation with GGA-PBE was carried out for a relaxed DyTm2Tl3CuAg2 crystal.

Cell: 3.823 13.670 7.867 Å, 90.00 90.00 90.00°
Space group Amm2 (No. 38)
Inequivalent atoms, fractional coordinates:
Dy  0.000  0.000  0.000
Tm  0.000  0.198  0.594
Tl  0.500  0.000  0.656
Tl  0.500  0.130  0.267
Cu  0.000  0.000  0.398
Ag  0.500  0.168  0.896

***

A plane-wave DFT calculation with GGA-PBE was carried out for a relaxed Er2CuAg3 crystal.

Cell: 3.658 3.658 9.107 Å, 90.00 90.00 90.00°
Space group P4mm (No. 99)
Inequivalent atoms, fractional coordinates:
Er  0.000  0.000  0.000
Er  0.500  0.500  0.485
Cu  0.000  0.000  0.328
Ag  0.000  0.000  0.659
Ag  0.500  0.500  0.169
Ag  0.500  0.500  0.823

Computed properties:
Formation energy in kcal/mol of atoms: -6.8

***

A plane-wave DFT calculation with GGA-PBE was carried out for a relaxed Er2Cu3Ag crystal.

Cell: 3.520 3.520 8.822 Å, 90.00 90.00 90.00°
Space group P4mm (No. 99)
Inequivalent atoms, fractional coordinates:
Er  0.000  0.000  0.000
Er  0.500  0.500  0.482
Cu  0.000  0.000  0.315
Cu  0.500  0.500  0.166
Cu  0.500  0.500  0.829
Ag  0.000  0.000  0.671

Computed properties:
Formation energy in kcal/mol of atoms: -5.2

***

A plane-wave DFT calculation with GGA-PBE was carried out for a relaxed Er2Ga2CuAg crystal.

Cell: 4.4672 4.4672 6.9468 Å, 90.00 90.00 120.00°
Space group P3m1 (No. 156)
Inequivalent atoms, fractional coordinates:
Er  0.0000  0.0000  0.0000
Er  0.0000  0.0000  0.4862
Ga  0.3333  0.6667  0.2225
Ga  0.3333  0.6667  0.7744
Cu  0.6667  0.3333  0.2513
Ag  0.6667  0.3333  0.7299

***

A plane-wave DFT calculation with GGA-PBE was carried out for a relaxed TbEr2Ga3CuAg2 crystal.

Cell: 3.765 12.968 7.456 Å, 90.00 90.00 90.00°
Space group Amm2 (No. 38)
Inequivalent atoms, fractional coordinates:
Tb  0.000  0.000  0.000
Er  0.000  0.198  0.405
Ga  0.500  0.000  0.356
Ga  0.500  0.124  0.725
Cu  0.000  0.000  0.601
Ag  0.500  0.168  0.103

***

A plane-wave DFT calculation with GGA-PBE was carried out for a relaxed HoEr2In3CuAg2 crystal.

Cell: 3.847 13.480 7.776 Å, 90.00 90.00 90.00°
Space group Amm2 (No. 38)
Inequivalent atoms, fractional coordinates:
Ho  0.000  0.000  0.000
Er  0.000  0.200  0.601
In  0.500  0.000  0.654
In  0.500  0.126  0.275
Cu  0.000  0.000  0.401
Ag  0.500  0.167  0.901

***

A plane-wave DFT calculation with GGA-PBE was carried out for a relaxed Ho2ErIn3CuAg2 crystal.

Cell: 3.875 13.462 7.777 Å, 90.00 90.00 90.00°
Space group Amm2 (No. 38)
Inequivalent atoms, fractional coordinates:
Ho  0.000  0.201  0.000
Er  0.000  0.000  0.603
In  0.500  0.000  0.950
In  0.500  0.125  0.327
Cu  0.000  0.000  0.201
Ag  0.500  0.166  0.701

***

A plane-wave DFT calculation with GGA-PBE was carried out for a relaxed Ho2ErTl3CuAg2 crystal.

Cell: 3.838 13.657 7.893 Å, 90.00 90.00 90.00°
Space group Amm2 (No. 38)
Inequivalent atoms, fractional coordinates:
Ho  0.000  0.198  0.000
Er  0.000  0.000  0.594
Tl  0.500  0.000  0.939
Tl  0.500  0.130  0.328
Cu  0.000  0.000  0.199
Ag  0.500  0.166  0.698

***

A plane-wave DFT calculation with GGA-PBE was carried out for a relaxed Ho2ErZn3CuAg2 crystal.

Cell: 3.971 12.544 7.248 Å, 90.00 90.00 90.00°
Space group Amm2 (No. 38)
Inequivalent atoms, fractional coordinates:
Ho  0.000  0.201  0.000
Er  0.000  0.000  0.602
Zn  0.500  0.000  0.966
Zn  0.500  0.117  0.318
Cu  0.000  0.000  0.201
Ag  0.500  0.166  0.701

Computed properties:
Formation energy in kcal/mol of atoms: -7.5

***

A plane-wave DFT calculation with GGA-PBE was carried out for a relaxed Er3In3CuAg2 crystal.

Cell: 7.7457 7.7457 3.8591 Å, 90.00 90.00 120.00°
Space group P-62m (No. 189)
Inequivalent atoms, fractional coordinates:
Er  0.0000  0.5979  0.0000
In  0.0000  0.2522  0.5000
Cu  0.0000  0.0000  0.0000
Ag  0.3333  0.6667  0.5000

***

A plane-wave DFT calculation with GGA-PBE was carried out for a relaxed Er3In3Cu2Ag crystal.

Cell: 7.5740 7.5740 3.9023 Å, 90.00 90.00 120.00°
Space group P-62m (No. 189)
Inequivalent atoms, fractional coordinates:
Er  0.0000  0.5898  0.0000
In  0.0000  0.2701  0.5000
Cu  0.3333  0.6667  0.5000
Ag  0.0000  0.0000  0.0000

***

A plane-wave DFT calculation with GGA-PBE was carried out for a relaxed Er2LuIn3CuAg2 crystal.

Cell: 3.820 13.419 7.758 Å, 90.00 90.00 90.00°
Space group Amm2 (No. 38)
Inequivalent atoms, fractional coordinates:
Er  0.000  0.200  0.000
Lu  0.000  0.000  0.598
In  0.500  0.000  0.947
In  0.500  0.127  0.327
Cu  0.000  0.000  0.201
Ag  0.500  0.165  0.699

***

A plane-wave DFT calculation with GGA-PBE was carried out for a relaxed Er3In3CuNiAg crystal.

Cell: 7.6167 7.6167 3.7867 Å, 90.00 90.00 120.00°
Space group P-6 (No. 174)
Inequivalent atoms, fractional coordinates:
Er  0.0889  0.7307  0.0000
In  0.4115  0.0784  0.5000
Cu  0.6667  0.3333  0.0000
Ni  0.3333  0.6667  0.5000
Ag  0.0000  0.0000  0.5000

***

A plane-wave DFT calculation with GGA-PBE was carried out for a relaxed Er3In3CuAgPd crystal.

Cell: 7.7080 7.7080 3.8156 Å, 90.00 90.00 120.00°
Space group P-6 (No. 174)
Inequivalent atoms, fractional coordinates:
Er  0.0809  0.7325  0.0000
In  0.4126  0.0818  0.5000
Cu  0.6667  0.3333  0.0000
Ag  0.0000  0.0000  0.5000
Pd  0.3333  0.6667  0.5000

***

A plane-wave DFT calculation with GGA-PBE was carried out for a relaxed Er3In3CuAgPt crystal.

Cell: 7.7167 7.7167 3.8030 Å, 90.00 90.00 120.00°
Space group P-6 (No. 174)
Inequivalent atoms, fractional coordinates:
Er  0.0834  0.7298  0.0000
In  0.4105  0.0851  0.5000
Cu  0.6667  0.3333  0.0000
Ag  0.0000  0.0000  0.5000
Pt  0.3333  0.6667  0.5000

***

A plane-wave DFT calculation with GGA-PBE was carried out for a relaxed TbEr2In3CuAg2 crystal.

Cell: 3.868 13.437 7.744 Å, 90.00 90.00 90.00°
Space group Amm2 (No. 38)
Inequivalent atoms, fractional coordinates:
Tb  0.000  0.000  0.000
Er  0.000  0.201  0.603
In  0.500  0.000  0.653
In  0.500  0.126  0.277
Cu  0.000  0.000  0.403
Ag  0.500  0.167  0.902

***

A plane-wave DFT calculation with GGA-PBE was carried out for a relaxed Er2TmIn3CuAg2 crystal.

Cell: 3.835 13.428 7.766 Å, 90.00 90.00 90.00°
Space group Amm2 (No. 38)
Inequivalent atoms, fractional coordinates:
Er  0.000  0.201  0.000
Tm  0.000  0.000  0.603
In  0.500  0.000  0.948
In  0.500  0.126  0.328
Cu  0.000  0.000  0.201
Ag  0.500  0.166  0.701

***

A plane-wave DFT calculation with GGA-PBE was carried out for a relaxed ErCuAgSe3 crystal.

Cell: 3.943 13.535 10.346 Å, 90.00 90.00 90.00°
Space group Cmcm (No. 63)
Inequivalent atoms, fractional coordinates:
Er  0.000  0.000  0.000
Cu  0.000  0.482  0.250
Ag  0.000  0.172  0.750
Se  0.000  0.093  0.250
Se  0.000  0.357  0.068

***

no.,uncorrected energy (eV per cell)
1,-69.892
2,-70.238
3,-27.299
4,-65.988
5,-65.897
6,-96.292
7,-65.021
8,-23.078
9,-24.455
10,-24.684
11,-72.739
12,-70.274
13,-70.329
14,-65.487
15,-59.628
16,-35.109
17,-35.748
18,-69.999
19,-38.243
20,-38.784
21,-40.372
22,-70.397
23,-69.992
24,-104.566